No. 1
Entry from Alexandria: crystalline TaCd2NiAg at its relaxed geometry (PBE-GGA).

```
5
Lattice="4.845 0.000 0.000 0.000 4.845 0.000 0.000 0.000 4.568" Properties=species:S:1:pos:R:3 pbc="T T T"
Ta 0.000 0.000 0.000
Cd 0.000 2.423 2.284
Cd 2.423 0.000 2.284
Ni 0.000 0.000 2.284
Ag 2.423 2.423 0.000
```

Output
**Crystal system**: tetragonal
**DFT formation energy**: 643 meV/atom



No. 2
Entry from Alexandria: crystalline La2NdHg at its relaxed geometry (PBE-GGA).

```
4
Lattice="1.894 1.093 11.015 -1.894 1.093 11.015 0.000 -2.187 11.015" Properties=species:S:1:pos:R:3 pbc="T T T"
La 0.000 0.000 0.000
La 0.000 0.000 5.981
Nd 0.000 0.000 13.988
Hg 0.000 0.000 19.524
```

Output
**Crystal system**: trigonal
**ΔE to the lowest computed polymorph**: 95 meV/atom
**DFT formation energy**: -144 meV/atom



No. 3
Entry from Alexandria: crystalline Rb2TbCd2Se4 at its relaxed geometry (PBE-GGA).

```
9
Lattice="8.424 -2.113 0.000 8.424 2.113 0.000 -3.395 0.000 7.868" Properties=species:S:1:pos:R:3 pbc="T T T"
Rb 1.922 0.000 0.488
Rb 11.530 0.000 7.380
Tb -1.697 0.000 3.934
Cd 3.632 0.000 3.812
Cd 9.820 0.000 4.056
Se 0.685 0.000 5.650
Se 5.609 0.000 5.648
Se 7.844 0.000 2.220
Se 12.768 0.000 2.218
```

Output
**Crystal system**: monoclinic
**Raw formation energy**: -1.096 eV/atom



No. 4
Entry from Alexandria: crystalline TbPr2Rh at its relaxed geometry (PBE-GGA).

```
4
Lattice="1.969 1.137 9.413 -1.969 1.137 9.413 0.000 -2.273 9.413" Properties=species:S:1:pos:R:3 pbc="T T T"
Tb 0.000 0.000 0.000
Pr 0.000 0.000 15.830
Pr 0.000 0.000 21.798
Rh 0.000 0.000 4.682
```

Output
**Crystal system**: trigonal
**ΔE to the lowest computed polymorph**: 199 meV/atom
**DFT formation energy**: -232 meV/atom



No. 5
Entry from Alexandria: crystalline AcMgGaCu2 at its relaxed geometry (PBE-GGA).

```
5
Lattice="-2.102 2.102 5.915 2.102 -2.102 5.915 2.102 2.102 -5.915" Properties=species:S:1:pos:R:3 pbc="T T T"
Ac 0.000 0.000 0.000
Mg 0.000 2.102 2.957
Ga 2.102 0.000 2.957
Cu 0.000 0.000 4.618
Cu 0.000 0.000 7.212
```

Output
**Crystal system**: tetragonal
**DFT formation energy**: -265 meV/atom



No. 6
Entry from Alexandria: crystalline InAgF at its relaxed geometry (PBE-GGA).

```
6
Lattice="1.576 -7.527 0.000 1.576 7.527 0.000 0.000 0.000 4.575" Properties=species:S:1:pos:R:3 pbc="T T T"
In 1.576 5.435 2.287
In 1.576 -5.435 0.000
Ag 1.576 0.903 2.344
Ag 1.576 -0.903 0.057
F 1.576 3.590 0.795
F 1.576 -3.590 3.082
```

Output
**Crystal system**: orthorhombic
**Raw formation energy**: -0.935 eV/atom



No. 7
Entry from Alexandria: crystalline LaTb4Sm7 at its relaxed geometry (PBE-GGA).

```
12
Lattice="6.074 -3.010 0.000 6.074 3.010 0.000 -5.975 0.000 11.284" Properties=species:S:1:pos:R:3 pbc="T T T"
La 0.000 0.000 0.000
Tb -1.016 0.000 7.720
Tb 3.120 0.000 2.535
Tb 3.053 0.000 8.750
Tb 7.188 0.000 3.565
Sm -1.285 0.000 3.762
Sm -2.960 0.000 10.386
Sm 1.515 0.000 5.603
Sm 6.074 0.000 0.000
Sm 4.658 0.000 5.681
Sm 9.132 0.000 0.899
Sm 7.458 0.000 7.523
```

Output
**Crystal system**: monoclinic
**ΔE to the lowest computed polymorph**: 236 meV/atom
**DFT formation energy**: 242 meV/atom



No. 8
Entry from Alexandria: crystalline KTmTe4 at its relaxed geometry (PBE-GGA).

```
12
Lattice="6.811 0.000 0.000 0.000 6.811 0.000 0.000 0.000 8.881" Properties=species:S:1:pos:R:3 pbc="T T T"
K 1.703 1.703 0.000
K 5.108 5.108 0.000
Tm 1.703 1.703 4.440
Tm 5.108 5.108 4.440
Te 0.698 4.103 2.620
Te 0.698 6.113 6.260
Te 2.707 4.103 6.260
Te 2.707 6.113 2.620
Te 4.103 0.698 6.260
Te 4.103 2.707 2.620
Te 6.113 0.698 2.620
Te 6.113 2.707 6.260
```

Output
**Crystal system**: tetragonal
**Raw formation energy**: -0.898 eV/atom



No. 9
Entry from Alexandria: crystalline AgBRu at its relaxed geometry (PBE-GGA).

```
6
Lattice="1.466 -9.481 0.000 1.466 9.481 0.000 0.000 0.000 2.923" Properties=species:S:1:pos:R:3 pbc="T T T"
Ag 1.466 5.785 2.193
Ag 1.466 -5.785 0.731
B 1.466 8.927 0.731
B 1.466 -8.927 2.193
Ru 1.466 1.249 0.731
Ru 1.466 -1.249 2.193
```

Output
**Crystal system**: orthorhombic
**DFT formation energy**: 70 meV/atom



No. 10
Entry from Alexandria: crystalline NdGa3AgPt at its relaxed geometry (PBE-GGA).

```
12
Lattice="2.921 -6.689 0.000 2.921 6.689 0.000 0.000 0.000 6.212" Properties=species:S:1:pos:R:3 pbc="T T T"
Nd 2.921 3.986 4.659
Nd 2.921 -3.986 1.553
Ga 1.262 0.000 0.000
Ga 1.262 0.000 3.106
Ga 2.921 1.755 1.553
Ga 2.921 -1.755 4.659
Ga 4.579 0.000 0.000
Ga 4.579 0.000 3.106
Ag 2.921 4.512 1.553
Ag 2.921 -4.512 4.659
Pt 2.921 1.158 4.659
Pt 2.921 -1.158 1.553
```

Output
**Crystal system**: orthorhombic
**DFT formation energy**: -403 meV/atom



No. 11
Entry from Alexandria: crystalline Ba3UGa2O9 at its relaxed geometry (PBE-GGA).

```
15
Lattice="5.845 0.000 0.000 -2.922 5.062 0.000 0.000 0.000 7.241" Properties=species:S:1:pos:R:3 pbc="T T T"
Ba 0.000 0.000 0.000
Ba 0.000 3.375 4.994
Ba 2.922 1.687 2.247
U 0.000 0.000 3.620
Ga 0.000 3.375 1.062
Ga 2.922 1.687 6.179
O -1.461 2.531 0.000
O 0.000 1.704 2.399
O -1.447 4.210 2.399
O 1.476 0.852 4.842
O 2.922 0.000 0.000
O 1.461 2.531 0.000
O 1.447 4.210 2.399
O 4.369 0.852 4.842
O 2.922 3.358 4.842
```

Output
**Crystal system**: trigonal
**Raw formation energy**: -2.618 eV/atom



No. 12
Entry from Alexandria: crystalline NaGa2Si at its relaxed geometry (PBE-GGA).

```
8
Lattice="-3.911 3.911 2.807 3.911 -3.911 2.807 3.911 3.911 -2.807" Properties=species:S:1:pos:R:3 pbc="T T T"
Na 0.000 0.000 0.000
Na 0.000 3.911 1.404
Ga 1.956 -1.425 2.105
Ga 2.486 1.956 0.702
Ga 1.956 5.337 -0.702
Ga 1.425 1.956 3.509
Si 3.911 0.000 1.404
Si 0.000 0.000 2.807
```

Output
**Crystal system**: tetragonal
**Raw formation energy**: 0.125 eV/atom



No. 13
Entry from Alexandria: crystalline Ac3OsSe2 at its relaxed geometry (PBE-GGA).

```
24
Lattice="0.000 6.339 13.282 4.529 0.000 13.282 4.529 6.339 0.000" Properties=species:S:1:pos:R:3 pbc="T T T"
Ac 3.286 1.422 7.603
Ac 5.899 4.754 9.961
Ac 3.508 1.422 12.320
Ac 5.772 4.591 14.244
Ac 8.163 7.923 16.602
Ac 5.551 4.591 18.961
Ac 3.508 8.086 7.603
Ac 0.895 4.754 9.961
Ac 3.286 8.086 12.320
Ac 5.551 11.255 14.244
Ac 3.160 7.923 16.602
Ac 5.772 11.255 18.961
Os 1.132 1.585 1.105
Os 1.132 1.585 5.536
Os 7.926 11.092 21.028
Os 7.926 11.092 25.459
Se 3.397 4.754 3.389
Se 3.397 4.754 7.835
Se 5.662 7.923 10.030
Se 3.397 4.754 12.088
Se 5.662 7.923 14.476
Se 3.397 4.754 16.534
Se 5.662 7.923 18.729
Se 5.662 7.923 23.175
```

Output
**Crystal system**: orthorhombic
**Raw formation energy**: -1.194 eV/atom



No. 14
Entry from Alexandria: crystalline DyMgSc at its relaxed geometry (PBE-GGA).

```
6
Lattice="3.275 0.000 0.000 0.000 5.242 0.000 -0.015 0.000 9.250" Properties=species:S:1:pos:R:3 pbc="T T T"
Dy 0.000 0.000 0.000
Dy -0.001 2.621 4.451
Mg 1.610 2.621 7.639
Mg 1.627 0.000 6.060
Sc 1.639 2.621 1.476
Sc 1.641 0.000 2.975
```

Output
**Crystal system**: monoclinic
**ΔE to the lowest computed polymorph**: 0 meV/atom
**DFT formation energy**: -21 meV/atom



No. 15
Entry from Alexandria: crystalline BaTa2Cu at its relaxed geometry (PBE-GGA).

```
4
Lattice="3.012 0.000 0.000 0.000 3.012 0.000 0.000 0.000 9.456" Properties=species:S:1:pos:R:3 pbc="T T T"
Ba 0.000 0.000 0.000
Ta 1.506 1.506 3.033
Ta 1.506 1.506 6.423
Cu 0.000 0.000 4.728
```

Output
**Crystal system**: tetragonal
**ΔE to the lowest computed polymorph**: 305 meV/atom
**DFT formation energy**: 809 meV/atom



No. 16
Entry from Alexandria: crystalline K5Ag2O5 at its relaxed geometry (PBE-GGA).

```
12
Lattice="5.709 -2.168 0.000 5.709 2.168 0.000 -0.549 0.000 9.460" Properties=species:S:1:pos:R:3 pbc="T T T"
K 0.000 0.000 0.000
K 1.126 0.000 5.377
K 3.042 0.000 1.416
K 7.828 0.000 8.044
K 9.744 0.000 4.083
Ag 4.461 0.000 6.672
Ag 6.409 0.000 2.788
O 0.591 0.000 2.761
O 3.474 0.000 8.454
O 5.435 0.000 4.730
O 7.396 0.000 1.005
O 10.279 0.000 6.699
```

Output
**Crystal system**: monoclinic
**Raw formation energy**: -0.796 eV/atom



No. 17
Entry from Alexandria: crystalline In4SiAg at its relaxed geometry (PBE-GGA).

```
6
Lattice="0.000 4.259 4.259 4.259 0.000 4.259 4.259 4.259 0.000" Properties=species:S:1:pos:R:3 pbc="T T T"
In 1.065 1.065 1.065
In 3.194 3.194 1.065
In 3.194 1.065 3.194
In 1.065 3.194 3.194
Si 6.388 6.388 6.388
Ag 4.259 4.259 4.259
```

Output
**Crystal system**: cubic
**Raw formation energy**: 0.495 eV/atom



No. 18
Entry from Alexandria: crystalline ZrTlHg2 at its relaxed geometry (PBE-GGA).

```
4
Lattice="1.684 -2.865 0.000 1.684 2.865 0.000 0.000 0.000 10.193" Properties=species:S:1:pos:R:3 pbc="T T T"
Zr 0.000 0.000 0.000
Tl 1.684 0.000 2.589
Hg 0.000 0.000 5.243
Hg 1.684 0.000 7.742
```

Output
**Crystal system**: orthorhombic
**DFT formation energy**: 84 meV/atom



No. 19
Entry from Alexandria: crystalline AgRhSI2 at its relaxed geometry (PBE-GGA).

```
5
Lattice="5.229 0.000 0.000 0.000 5.229 0.000 0.000 0.000 5.331" Properties=species:S:1:pos:R:3 pbc="T T T"
Ag 0.000 0.000 0.000
Rh 0.000 0.000 2.666
S 2.614 2.614 0.000
I 0.000 2.614 2.666
I 2.614 0.000 2.666
```

Output
**Crystal system**: tetragonal
**Raw formation energy**: 0.719 eV/atom



No. 20
Entry from Alexandria: crystalline PmNdAlSi at its relaxed geometry (PBE-GGA).

```
4
Lattice="4.077 0.000 0.000 0.000 2.233 5.631 0.000 -2.233 5.631" Properties=species:S:1:pos:R:3 pbc="T T T"
Pm 0.000 0.000 0.000
Nd 2.038 0.000 8.062
Al 2.038 0.000 4.788
Si 0.000 0.000 3.227
```

Output
**Crystal system**: orthorhombic
**ΔE to the lowest computed polymorph**: 0 meV/atom
**Raw formation energy**: -0.610 eV/atom



No. 21
Entry from Alexandria: crystalline ScCdPb2 at its relaxed geometry (PBE-GGA).

```
8
Lattice="-4.111 4.111 3.250 4.111 -4.111 3.250 4.111 4.111 -3.250" Properties=species:S:1:pos:R:3 pbc="T T T"
Sc 0.000 0.000 0.000
Sc 0.000 4.111 1.625
Cd 4.111 0.000 1.625
Cd 0.000 0.000 3.250
Pb 2.056 -1.964 2.438
Pb 2.147 2.056 0.813
Pb 2.056 6.076 -0.813
Pb 1.964 2.056 4.063
```

Output
**Crystal system**: tetragonal
**DFT formation energy**: 67 meV/atom



No. 22
Entry from Alexandria: crystalline Ba2LiTbIrO6 at its relaxed geometry (PBE-GGA).

```
11
Lattice="-2.956 3.020 4.456 2.956 -3.020 4.456 2.956 3.020 -4.456" Properties=species:S:1:pos:R:3 pbc="T T T"
Ba 0.000 0.000 1.837
Ba 0.000 0.000 7.075
Li 0.000 0.000 4.456
Tb 0.000 3.020 0.000
Ir 2.956 0.000 0.000
O 2.956 0.000 2.072
O 1.595 1.510 0.000
O 4.317 1.510 0.000
O -1.361 1.510 4.456
O 1.361 1.510 4.456
O 0.000 3.020 2.384
```

Output
**Crystal system**: orthorhombic
**ΔE to the lowest computed polymorph**: 1 meV/atom
**Raw formation energy**: -2.156 eV/atom



No. 23
Entry from Alexandria: crystalline BaLi5Ag7 at its relaxed geometry (PBE-GGA).

```
13
Lattice="-2.701 4.880 4.798 2.701 -4.880 4.798 2.701 4.880 -4.798" Properties=species:S:1:pos:R:3 pbc="T T T"
Ba 0.000 0.000 0.000
Li 2.701 0.000 2.340
Li -1.345 2.497 2.422
Li 1.345 2.497 2.422
Li -1.345 7.262 2.422
Li 1.345 7.262 2.422
Ag 2.701 2.272 0.021
Ag 0.000 0.000 3.398
Ag 0.000 3.466 0.002
Ag 0.000 6.293 0.002
Ag 0.000 0.000 6.214
Ag 0.000 2.608 4.819
Ag 0.000 4.880 2.643
```

Output
**Crystal system**: orthorhombic
**DFT formation energy**: -141 meV/atom



No. 24
Entry from Alexandria: crystalline GaPb3Br7 at its relaxed geometry (PBE-GGA).

```
11
Lattice="4.900 -5.639 0.000 4.900 5.639 0.000 -2.885 0.000 7.023" Properties=species:S:1:pos:R:3 pbc="T T T"
Ga 0.000 0.000 0.000
Pb 3.458 2.616 3.512
Pb 4.900 0.000 0.000
Pb 3.458 -2.616 3.512
Br -1.442 0.000 3.512
Br 1.049 2.419 5.430
Br 2.535 0.000 1.875
Br 5.867 2.419 1.593
Br 1.049 -2.419 5.430
Br 4.380 0.000 5.148
Br 5.867 -2.419 1.593
```

Output
**Crystal system**: monoclinic
**Raw formation energy**: -0.788 eV/atom